[1]
Here is KBaIn4 after structural relaxation from Alexandria via LeMat-Bulk. Energies are from PBE.

Output
For the formation energy, the calculation gives -0.26 eV per atom. The space-group type is No. 216. As for the density: 5.58 g/cm3. The value obtained for the volume is 189 Å³ per cell.

Cell: 6.4421 6.4421 6.4421 Å, 60.00 60.00 60.00°
Sites, in units of the cell vectors:
In: 0.6251 0.1248 0.6251
In: 0.6251 0.6251 0.6251
In: 0.1248 0.6251 0.6251
In: 0.6251 0.6251 0.1248
Ba: 0.0000 0.0000 0.0000
K: 0.2500 0.2500 0.2500

[2]
Here is KBa2In after structural relaxation from Alexandria via LeMat-Bulk. Energies are from PBE.

Output
For the formation energy, the calculation gives -0.09 eV per atom. The space-group type is No. 44. As for the density: 3.48 g/cm3. The value obtained for the volume is 205 Å³ per cell.

Cell: 8.3645 8.3645 8.3645 Å, 149.87 135.50 54.68°
Sites, in units of the cell vectors:
Ba: 0.9967 0.9967 0.0000
Ba: 0.6904 0.1904 0.5000
In: 0.5055 0.5055 0.0000
K: 0.3074 0.8074 0.5000

[3]
Here is KBa2In after structural relaxation from Alexandria via LeMat-Bulk. Energies are from PBE.

Output
For the formation energy, the calculation gives -0.02 eV per atom. The space-group type is No. 216. As for the density: 4.11 g/cm3. The value obtained for the volume is 173 Å³ per cell.

Cell: 6.2561 6.2561 6.2561 Å, 60.00 60.00 60.00°
Sites, in units of the cell vectors:
Ba: 0.2500 0.2500 0.2500
Ba: 0.0000 0.0000 0.0000
K: 0.7500 0.7500 0.7500
In: 0.5000 0.5000 0.5000

[4]
Here is K2BaIn after structural relaxation from Alexandria via LeMat-Bulk. Energies are from PBE.

Output
For the formation energy, the calculation gives 0.02 eV per atom. The space-group type is No. 139. As for the density: 2.84 g/cm3. The value obtained for the volume is 193 Å³ per cell.

Cell: 7.5674 7.5674 7.5674 Å, 137.85 137.85 61.14°
Sites, in units of the cell vectors:
In: 0.7500 0.2500 0.5000
K: 0.5000 0.5000 0.0000
K: 0.0000 0.0000 0.0000
Ba: 0.2500 0.7500 0.5000